This record from the Alexandria database describes a relaxed LaTm2Ta crystal. The functional is PBE-GGA.

## Properties
**Formation energy**: 2.48 eV per formula unit
**SG**: R-3m
**Uncorrected energy**: -5.8111 eV/atom
**V**: 329.11 Å³ per cell

Lattice parameters (Å, degrees): 3.274 3.274 35.444 90.00 90.00 120.00
Fractional positions:
La1 0.000 0.000 0.000
La2 0.333 0.667 0.667
La3 0.667 0.333 0.333
Tm1 0.000 0.000 0.418
Tm2 0.000 0.000 0.582
Tm3 0.333 0.667 0.085
Tm4 0.333 0.667 0.249
Tm5 0.667 0.333 0.751
Tm6 0.667 0.333 0.915
Ta1 0.000 0.000 0.500
Ta2 0.333 0.667 0.167
Ta3 0.667 0.333 0.833